Compound: GeTe
Source: Alexandria via LeMat-Bulk
Functional: PBEsol
Structure: relaxed

As for the energy relative to the elements, uncorrected: -0.088 eV per atom. The volume comes out at 51.4 Å³/cell. The symmetry is Fm-3m (225). Its uncorrected energy is -4.321 eV/atom. As for the size of the total moment: 0.00 Bohr magnetons per cell.

Cell: 4.173 4.173 4.173 Å, 60.00 60.00 60.00°
Fractional positions:
Ge1 0.000 0.000 0.000
Te1 0.500 0.500 0.500

Compound: ThGeTe
Source: Alexandria via LeMat-Bulk
Functional: PBEsol
Structure: relaxed

As for the energy relative to the elements, uncorrected: -1.023 eV per atom. The volume comes out at 157.5 Å³/cell. The symmetry is I4/mmm (139). Its uncorrected energy is -6.547 eV/atom. As for the size of the total moment: 0.00 Bohr magnetons per cell.

Cell: 4.172 4.172 9.521 Å, 102.65 102.65 90.00°
Fractional positions:
Ge1 0.000 0.500 0.000
Ge2 0.500 0.000 0.000
Te1 0.310 0.310 0.621
Te2 0.690 0.690 0.379
Th1 0.124 0.124 0.247
Th2 0.876 0.876 0.753

Compound: Tl2GeTeW
Source: Alexandria via LeMat-Bulk
Functional: PBEsol
Structure: relaxed

As for the energy relative to the elements, uncorrected: 1.534 eV per atom. The volume comes out at 147.5 Å³/cell. The symmetry is P4/mmm (123). Its uncorrected energy is -3.972 eV/atom. As for the size of the total moment: 4.28 Bohr magnetons per cell.

Cell: 5.189 5.189 5.477 Å, 90.00 90.00 90.00°
Fractional positions:
Tl1 0.000 0.500 0.000
Tl2 0.500 0.000 0.000
Te1 0.000 0.000 0.500
Ge1 0.000 0.000 0.000
W1 0.500 0.500 0.500

Compound: ZrGeTe4
Source: Alexandria via LeMat-Bulk
Functional: PBEsol
Structure: relaxed

As for the energy relative to the elements, uncorrected: -0.519 eV per atom. The volume comes out at 342.8 Å³/cell. The symmetry is Cmc2_1 (36). Its uncorrected energy is -5.208 eV/atom. As for the size of the total moment: 0.00 Bohr magnetons per cell.

Cell: 3.957 8.189 10.900 Å, 90.00 90.00 103.98°
Fractional positions:
Zr1 0.651 0.302 0.727
Zr2 0.349 0.698 0.227
Ge1 0.771 0.542 0.538
Ge2 0.229 0.458 0.038
Te1 0.985 0.969 0.258
Te2 0.015 0.031 0.758
Te3 0.899 0.798 0.037
Te4 0.101 0.202 0.537
Te5 0.721 0.441 0.301
Te6 0.279 0.559 0.801
Te7 0.382 0.764 0.501
Te8 0.618 0.236 0.001

Compound: ThGe
Source: Alexandria via LeMat-Bulk
Functional: PBEsol
Structure: relaxed

Its formation energy is -770 meV per atom. The volume comes out at 54.3 Å³/cell. The symmetry is Fm-3m (225). Its uncorrected energy is -7.293 eV/atom. As for the size of the total moment: 0.00 Bohr magnetons per cell.

Cell: 4.250 4.250 4.250 Å, 60.00 60.00 60.00°
Fractional positions:
Ge1 0.500 0.500 0.500
Th1 0.000 0.000 0.000

Compound: Th3Ge2
Source: Alexandria via LeMat-Bulk
Functional: PBEsol
Structure: relaxed

Its formation energy is -729 meV per atom. The volume comes out at 255.7 Å³/cell. The symmetry is P4/mbm (127). Its uncorrected energy is -7.569 eV/atom. As for the size of the total moment: 0.00 Bohr magnetons per cell.

Cell: 4.100 7.897 7.897 Å, 90.00 90.00 90.00°
Fractional positions:
Th1 0.500 0.822 0.678
Th2 0.500 0.322 0.822
Th3 0.500 0.178 0.322
Th4 0.500 0.678 0.178
Th5 0.000 0.500 0.500
Th6 0.000 0.000 0.000
Ge1 0.000 0.119 0.619
Ge2 0.000 0.619 0.881
Ge3 0.000 0.381 0.119
Ge4 0.000 0.881 0.381

Compound: Ti5Ge4
Source: Alexandria via LeMat-Bulk
Functional: PBEsol
Structure: relaxed

Its formation energy is -760 meV per atom. The volume comes out at 561.7 Å³/cell. The symmetry is Pnma (62). Its uncorrected energy is -7.578 eV/atom. As for the size of the total moment: 0.00 Bohr magnetons per cell.

Cell: 6.602 6.697 12.704 Å, 90.00 90.00 90.00°
Fractional positions:
Ti1 0.172 0.505 0.750
Ti2 0.672 0.995 0.750
Ti3 0.828 0.495 0.250
Ti4 0.328 0.005 0.250
Ti5 0.350 0.834 0.626
Ti6 0.850 0.666 0.874
Ti7 0.650 0.166 0.126
Ti8 0.150 0.334 0.374
Ti9 0.650 0.166 0.374
Ti10 0.150 0.334 0.126
Ti11 0.350 0.834 0.874
Ti12 0.850 0.666 0.626
Ti13 0.514 0.322 0.593
Ti14 0.014 0.178 0.907
Ti15 0.486 0.678 0.093
Ti16 0.986 0.822 0.407
Ti17 0.486 0.678 0.407
Ti18 0.986 0.822 0.093
Ti19 0.514 0.322 0.907
Ti20 0.014 0.178 0.593
Ge1 0.317 0.153 0.750
Ge2 0.817 0.347 0.750
Ge3 0.683 0.847 0.250
Ge4 0.183 0.653 0.250
Ge5 0.545 0.610 0.750
Ge6 0.045 0.890 0.750
Ge7 0.455 0.390 0.250
Ge8 0.955 0.110 0.250
Ge9 0.308 0.037 0.460
Ge10 0.808 0.463 0.040
Ge11 0.692 0.963 0.960
Ge12 0.192 0.537 0.540
Ge13 0.692 0.963 0.540
Ge14 0.192 0.537 0.960
Ge15 0.308 0.037 0.040
Ge16 0.808 0.463 0.460

Compound: Ti5Ge3
Source: Alexandria via LeMat-Bulk
Functional: PBEsol
Structure: relaxed

Its formation energy is -760 meV per atom. The volume comes out at 250.5 Å³/cell. The symmetry is P6_3/mcm (193). Its uncorrected energy is -7.814 eV/atom. As for the size of the total moment: 0.00 Bohr magnetons per cell.

Cell: 5.148 7.496 7.496 Å, 120.00 90.00 90.00°
Fractional positions:
Ti1 0.750 0.250 0.000
Ti2 0.750 0.750 0.750
Ti3 0.250 0.750 0.000
Ti4 0.000 0.333 0.667
Ti5 0.750 0.000 0.250
Ti6 0.250 0.250 0.250
Ti7 0.500 0.333 0.667
Ti8 0.250 0.000 0.750
Ti9 0.000 0.667 0.333
Ti10 0.500 0.667 0.333
Ge1 0.750 0.390 0.390
Ge2 0.750 0.000 0.610
Ge3 0.250 0.390 0.000
Ge4 0.250 0.000 0.390
Ge5 0.750 0.610 0.000
Ge6 0.250 0.610 0.610

Compound: TiTlGe2
Source: Alexandria via LeMat-Bulk
Functional: PBEsol
Structure: relaxed

Its formation energy is 334 meV per atom. The volume comes out at 78.7 Å³/cell. The symmetry is Fm-3m (225). Its uncorrected energy is -4.874 eV/atom. As for the size of the total moment: 1.18 Bohr magnetons per cell.

Cell: 4.810 4.810 4.810 Å, 60.00 60.00 60.00°
Fractional positions:
Tl1 0.500 0.500 0.500
Ge1 0.250 0.250 0.250
Ge2 0.750 0.750 0.750
Ti1 0.000 0.000 0.000

Compound: TmTiGe
Source: Alexandria via LeMat-Bulk
Functional: PBEsol
Structure: relaxed

Its formation energy is -744 meV per atom. The volume comes out at 117.8 Å³/cell. The symmetry is P4/nmm (129). Its uncorrected energy is -6.797 eV/atom. As for the size of the total moment: 0.01 Bohr magnetons per cell.

Cell: 3.969 3.969 7.480 Å, 90.00 90.00 90.00°
Fractional positions:
Ge1 0.500 0.000 0.250
Ge2 0.000 0.500 0.750
Tm1 0.000 0.500 0.343
Tm2 0.500 0.000 0.657
Ti1 0.500 0.500 0.000
Ti2 0.000 0.000 0.000

Compound: ZrTi2GeW
Source: Alexandria via LeMat-Bulk
Functional: PBEsol
Structure: relaxed

Its formation energy is 843 meV per atom. The volume comes out at 100.8 Å³/cell. The symmetry is P4/mmm (123). Its uncorrected energy is -8.053 eV/atom. As for the size of the total moment: 0.00 Bohr magnetons per cell.

Cell: 4.538 4.538 4.893 Å, 90.00 90.00 90.00°
Fractional positions:
Ge1 0.000 0.000 0.000
Zr1 0.000 0.000 0.500
W1 0.500 0.500 0.500
Ti1 0.000 0.500 0.000
Ti2 0.500 0.000 0.000

Question: What is the size of the total moment in the first record?
Answer: 0.00 Bohr magnetons per cell